Below is Cd2PO5 after structural relaxation, with properties calculated at the PBE level.

## Properties
Its magnetization is 1.0 μB per formula unit. For the electronic total energy, the calculation gives -5.193 eV/atom. The uncorrected formation energy comes out at -114.8 kJ/mol of atoms. Its crystal system is orthorhombic. The calculation puts the volume at 204.5 Å³/cell.

Cell and atoms, written as POSCAR:
```
Cd2PO5
1.0
-0.7614 -3.5871 0.0568
5.8373 0.6293 -0.4044
0.6880 0.0116 9.9486
Cd P O
4 2 10
Direct
0.8628 0.7255 0.4231 Cd
0.8628 0.7255 0.0769 Cd
0.1372 0.2745 0.5769 Cd
0.1372 0.2745 0.9231 Cd
0.8450 0.6899 0.7500 P
0.1550 0.3101 0.2500 P
0.9457 0.8915 0.8703 O
0.9457 0.8915 0.6297 O
0.2651 0.5302 0.3713 O
0.2651 0.5302 0.1287 O
0.6673 0.3347 0.2500 O
0.3327 0.6653 0.7500 O
0.7349 0.4698 0.6287 O
0.7349 0.4698 0.8713 O
0.0543 0.1085 0.1297 O
0.0543 0.1085 0.3703 O
```